Record 1
A plane-wave DFT calculation with PBE was carried out for LiBiTe4Pb2 after structural relaxation.

Cell and atoms, written as POSCAR:
```
LiBiTe4Pb2
1.0
-4.128 0.228 1.867
2.331 -4.714 5.729
1.355 7.409 2.091
Li Bi Te Pb
1 1 4 2
Cartesian
-0.898 -2.243 3.798 Li
0.000 0.000 0.000 Bi
-1.156 0.642 2.877 Te
0.714 2.281 6.811 Te
1.646 4.449 3.095 Te
2.041 -1.754 4.725 Te
-1.387 3.819 1.979 Pb
1.843 1.348 3.910 Pb
```

Properties
Formation energy (no corrections)   -0.437 eV/atom



Record 2
A plane-wave DFT calculation with PBE was carried out for LiTlBiPb after structural relaxation.

Cell and atoms, written as POSCAR:
```
LiTlBiPb
1.0
5.479 0.000 0.000
2.740 4.745 0.000
2.740 1.582 4.474
Pb Tl Bi Li
1 1 1 1
Cartesian
5.479 3.163 2.237 Pb
2.740 1.582 1.118 Tl
8.219 4.745 3.355 Bi
0.000 0.000 0.000 Li
```

Properties
Formation energy from the elements   -0.3 eV per formula unit



Record 3
A plane-wave DFT calculation with PBE was carried out for Li2TlBiPb after structural relaxation.

Cell and atoms, written as POSCAR:
```
Li2TlBiPb
1.0
5.310 0.000 0.000
0.000 6.037 0.000
0.000 0.000 5.310
Pb Tl Bi Li
1 1 1 2
Cartesian
0.000 0.000 0.000 Pb
2.655 3.019 2.655 Tl
0.000 3.019 0.000 Bi
0.000 0.000 2.655 Li
2.655 0.000 0.000 Li
```

Properties
ΔE to the lowest computed polymorph   0.338 eV per atom
Formation energy from the elements   0.8 eV per formula unit



Record 4
A plane-wave DFT calculation with PBE was carried out for Li2TlBiPb after structural relaxation.

Cell and atoms, written as POSCAR:
```
Li2TlBiPb
1.0
4.917 0.000 0.000
-2.458 4.258 0.000
0.000 0.000 6.007
Li Tl Bi Pb
2 1 1 1
Cartesian
0.000 2.839 0.953 Li
2.458 1.419 5.089 Li
0.000 2.839 3.925 Tl
2.458 1.419 2.082 Bi
0.000 0.000 5.971 Pb
```

Properties
ΔE to the lowest computed polymorph   0.000 eV per atom
Formation energy from the elements   -0.9 eV per formula unit



Record 5
A plane-wave DFT calculation with PBE was carried out for LiTmBiPb after structural relaxation.

Cell and atoms, written as POSCAR:
```
LiTmBiPb
1.0
5.328 0.000 0.000
2.664 4.614 0.000
2.664 1.538 4.350
Pb Tm Bi Li
1 1 1 1
Cartesian
2.664 1.538 1.088 Pb
5.328 3.076 2.175 Tm
7.992 4.614 3.263 Bi
0.000 0.000 0.000 Li
```

Properties
Formation energy from the elements   -1.3 eV per formula unit



Record 6
A plane-wave DFT calculation with PBE was carried out for Li3Bi2Pd3 after structural relaxation.

Cell and atoms, written as POSCAR:
```
Li3Bi2Pd3
1.0
-1.685 4.697 -0.923
-0.766 -1.173 -4.571
-4.357 -3.486 4.125
Li Bi Pd
3 2 3
Cartesian
-4.703 -1.939 -1.214 Li
-2.106 1.977 -0.154 Li
0.000 0.000 0.000 Li
-3.900 0.925 -2.084 Bi
-2.909 -0.887 0.715 Bi
-5.098 1.046 0.586 Pd
-1.226 1.762 -2.747 Pd
-1.711 -1.007 -1.955 Pd
```

Properties
ΔE to the lowest computed polymorph   0.128 eV per atom
Formation energy from the elements   -2.8 eV per formula unit



Record 7
A plane-wave DFT calculation with PBE was carried out for Li2Bi3Pd4 after structural relaxation.

Cell and atoms, written as POSCAR:
```
Li2Bi3Pd4
1.0
-0.934 -2.017 -4.235
0.040 -4.790 -0.444
-8.564 -0.331 2.060
Li Bi Pd
2 3 4
Cartesian
-6.993 -2.524 0.053 Li
-2.464 -4.615 -2.672 Li
-3.696 -2.401 -0.749 Bi
0.000 0.000 0.000 Bi
-5.762 -4.738 -1.870 Bi
-8.396 -4.844 -1.245 Pd
-2.825 -4.902 0.234 Pd
-6.633 -2.236 -2.853 Pd
-1.061 -2.294 -1.374 Pd
```

Properties
ΔE to the lowest computed polymorph   0.015 eV per atom
Formation energy from the elements   -3.1 eV per formula unit



Record 8
A plane-wave DFT calculation with PBE was carried out for LiBiPd4 after structural relaxation.

Cell and atoms, written as POSCAR:
```
LiBiPd4
1.0
3.867 0.000 1.119
2.146 4.542 -0.175
0.346 -1.635 6.048
Li Bi Pd
1 1 4
Cartesian
0.000 0.000 0.000 Li
3.180 1.454 3.496 Bi
4.577 0.859 5.911 Pd
3.579 4.017 2.117 Pd
1.783 2.048 1.081 Pd
2.781 -1.110 4.874 Pd
```

Properties
ΔE to the lowest computed polymorph   0.016 eV per atom
Formation energy from the elements   -1.8 eV per formula unit



Record 9
A plane-wave DFT calculation with PBE was carried out for Li2BiPd7 after structural relaxation.

Cell and atoms, written as POSCAR:
```
Li2BiPd7
1.0
-1.724 -2.754 -2.845
5.755 -3.580 -0.022
-4.529 -1.963 4.644
Li Bi Pd
2 1 7
Cartesian
1.788 -4.469 -0.036 Li
-2.287 -3.828 1.813 Li
0.000 0.000 0.000 Bi
3.187 -3.176 1.143 Pd
-1.961 -2.367 3.479 Pd
-1.913 -2.229 0.039 Pd
1.414 -6.067 1.738 Pd
0.655 -2.633 -1.126 Pd
-1.153 -5.663 2.903 Pd
-0.249 -4.148 0.889 Pd
```

Properties
Formation energy from the elements   1.8 eV per formula unit



Record 10
A plane-wave DFT calculation with PBE was carried out for Li6BiPd5 after structural relaxation.

Cell and atoms, written as POSCAR:
```
Li6BiPd5
1.0
7.459 0.307 0.000
2.429 3.642 0.000
1.215 1.821 6.585
Li Bi Pd
6 1 5
Cartesian
6.142 1.179 2.319 Li
3.747 2.770 2.319 Li
2.596 0.905 0.000 Li
7.293 3.044 0.000 Li
7.356 3.000 4.265 Li
4.961 4.591 4.265 Li
0.000 0.000 0.000 Bi
4.944 1.974 4.416 Pd
1.215 1.821 2.165 Pd
4.944 1.974 0.000 Pd
2.429 3.642 4.420 Pd
6.159 3.795 2.169 Pd
```

Properties
ΔE to the lowest computed polymorph   0.006 eV per atom
Formation energy from the elements   -5.1 eV per formula unit



Record 11
A plane-wave DFT calculation with PBE was carried out for LiBi3Pd after structural relaxation.

Cell and atoms, written as POSCAR:
```
LiBi3Pd
1.0
3.445 -0.324 0.000
-2.399 7.937 0.000
0.000 0.000 10.026
Li Bi Pd
2 6 2
Cartesian
0.643 7.376 2.506 Li
0.403 0.237 7.519 Li
-0.561 6.186 5.398 Bi
1.607 1.427 4.628 Bi
-0.561 6.186 9.641 Bi
1.607 1.427 0.385 Bi
1.888 4.574 2.506 Bi
-0.842 3.039 7.519 Bi
-0.059 2.460 2.506 Pd
1.105 5.153 7.519 Pd
```

Properties
ΔE to the lowest computed polymorph   0.036 eV per atom
Formation energy from the elements   -1.1 eV per formula unit



Record 12
A plane-wave DFT calculation with PBE was carried out for Li5Bi6Pd after structural relaxation.

Cell and atoms, written as POSCAR:
```
Li5Bi6Pd
1.0
-3.641 1.796 3.332
-2.912 -6.119 0.116
3.527 -1.545 7.050
Bi Pd Li
6 1 5
Cartesian
-4.149 -3.603 5.163 Bi
-2.658 -0.470 5.104 Bi
1.008 -2.115 8.744 Bi
-4.033 -3.753 1.754 Bi
-0.368 -5.398 5.394 Bi
1.123 -2.265 5.334 Bi
0.000 0.000 0.000 Pd
-1.482 -2.916 6.961 Li
-2.912 -6.051 3.668 Li
-1.456 -3.060 0.058 Li
-0.114 0.184 6.830 Li
-1.543 -2.952 3.537 Li
```

Properties
Formation energy from the elements   -4.1 eV per formula unit



What did we get for raw total energy? Answer: -3.66 -3.05 -2.61 -2.94 -3.82 -3.98 -4.38 -4.74 -4.23 -3.86 -3.96 -3.51 eV per atom, in the order shown.